DFT (PBE) results for a geometry-optimized Y3Mn structure.

Computed properties:
DOS at the Fermi energy	1.472	states/eV/atom
ΔH_f (0 K)	24.1	kJ per mole of atoms
energy	-6.8909	eV per atom

abc: 3.543 4.948 6.554
angles: 90.00 104.12 90.00
Space group P2/m (No. 10)
Inequivalent atoms, fractional coordinates:
Y  0.000  0.000  0.000 x1
Y  0.394  0.500  0.727 x2
Mn  0.000  0.000  0.500 x1